{"formula": "Ac4IrPt", "functional": "PBE-GGA", "state": "optimized geometry", "cell": [[-4.110, 0.149, -1.631], [-0.876, -6.802, 1.584], [-2.682, 1.945, 6.938]], "species": ["Ac", "Ac", "Ac", "Ac", "Ir", "Pt"], "frac_coords": [[0.000, 0.775, 0.340], [0.500, 0.226, 0.174], [0.500, 0.774, 0.826], [0.000, 0.225, 0.660], [0.500, 0.000, 0.500], [0.000, 0.000, 0.000]], "delta_e_f_ev_per_atom": -0.710, "relative_energy_mev_per_atom": 0, "dft_energy_ev_per_atom": -5.932, "sg": "No. 10", "total_magnetization_mub_per_fu": 0.0}